Record 1
! Mn2WAu (PBE-GGA, optimized geometry); values from VASP
! formation energy from the elements: 0.280 eV per atom
! energy above the most stable polymorph in this dataset: 0.125 eV/atom
&SYSTEM
  ibrav = 0, nat = 4, ntyp = 3
/
ATOMIC_SPECIES
W 183.84 W.upf
Mn 54.94 Mn.upf
Au 196.97 Au.upf
ATOMIC_POSITIONS crystal
W 0.000 0.000 0.459
Mn 0.500 0.500 0.229
Mn 0.000 0.000 0.049
Au 0.500 0.500 0.763
CELL_PARAMETERS angstrom
-0.366 -0.983 2.591
3.530 -0.533 0.296
0.612 5.195 2.057

Record 2
! Mn3WAu (PBE-GGA, optimized geometry); values from VASP
! formation energy from the elements: 1.675 eV per atom
! energy above the most stable polymorph in this dataset: 0.340 eV/atom
&SYSTEM
  ibrav = 0, nat = 5, ntyp = 3
/
ATOMIC_SPECIES
Mn 54.94 Mn.upf
Au 196.97 Au.upf
W 183.84 W.upf
ATOMIC_POSITIONS crystal
Mn 0.000 0.500 0.000
Mn 0.000 0.000 0.500
Mn 0.500 0.000 0.000
Au 0.000 0.000 0.000
W 0.500 0.500 0.500
CELL_PARAMETERS angstrom
-0.685 -1.311 4.583
1.459 -4.465 -1.059
4.538 1.238 1.032

Record 3
! Mn2WAu (PBE-GGA, optimized geometry); values from VASP
! formation energy from the elements: 0.213 eV per atom
! energy above the most stable polymorph in this dataset: 0.058 eV/atom
&SYSTEM
  ibrav = 0, nat = 4, ntyp = 3
/
ATOMIC_SPECIES
Mn 54.94 Mn.upf
Au 196.97 Au.upf
W 183.84 W.upf
ATOMIC_POSITIONS crystal
Mn 0.000 0.000 0.031
Mn 0.500 0.500 0.232
Au 0.500 0.500 0.761
W 0.000 0.000 0.476
CELL_PARAMETERS angstrom
2.722 0.006 0.000
-0.018 2.722 0.000
0.000 0.000 7.866

Record 4
! MnWAu4 (PBE-GGA, optimized geometry); values from VASP
! formation energy from the elements: 0.660 eV per atom
&SYSTEM
  ibrav = 0, nat = 6, ntyp = 3
/
ATOMIC_SPECIES
Au 196.97 Au.upf
Mn 54.94 Mn.upf
W 183.84 W.upf
ATOMIC_POSITIONS crystal
Au 0.375 0.875 0.375
Au 0.375 0.375 0.375
Au 0.375 0.375 0.875
Au 0.875 0.375 0.375
Mn 0.750 0.750 0.750
W 0.000 0.000 0.000
CELL_PARAMETERS angstrom
-2.355 1.664 4.566
-5.386 0.125 0.370
-2.572 -3.545 3.159

Record 5
! Mn2WAu (PBE-GGA, optimized geometry); values from VASP
! formation energy from the elements: 0.155 eV per atom
! energy above the most stable polymorph in this dataset: 0.000 eV/atom
&SYSTEM
  ibrav = 0, nat = 4, ntyp = 3
/
ATOMIC_SPECIES
Au 196.97 Au.upf
Mn 54.94 Mn.upf
W 183.84 W.upf
ATOMIC_POSITIONS crystal
Au 0.500 0.500 0.750
Mn 0.000 0.000 0.481
Mn 0.000 0.000 0.019
W 0.500 0.500 0.250
CELL_PARAMETERS angstrom
3.172 0.000 0.000
0.000 3.172 0.000
0.000 0.000 5.845

Record 6
! Zr2MnWAu (PBE-GGA, optimized geometry); values from VASP
! formation energy from the elements: 1.456 eV per atom
&SYSTEM
  ibrav = 0, nat = 5, ntyp = 4
/
ATOMIC_SPECIES
Au 196.97 Au.upf
Zr 91.22 Zr.upf
Mn 54.94 Mn.upf
W 183.84 W.upf
ATOMIC_POSITIONS crystal
Au 0.000 0.000 0.000
Zr 0.500 0.000 0.000
Zr 0.000 0.000 0.500
Mn 0.500 0.500 0.500
W 0.000 0.500 0.000
CELL_PARAMETERS angstrom
-2.377 4.144 -1.896
-3.342 -0.288 3.561
2.905 3.025 2.971

Number 1: DFT total energy -8.362 eV per atom. Number 2: DFT total energy -7.072 eV per atom. Number 3: DFT total energy -8.429 eV per atom. Number 4: DFT total energy -5.212 eV per atom. Number 5: DFT total energy -8.488 eV per atom. Number 6: DFT total energy -7.043 eV per atom.